Entry 1:
# PmSm4Dy, relaxed, DFT GGA-PBE
# Formation energy = 0.015 eV per atom
# Distance to the lowest polymorph of the same formula = 0.000 eV/atom
# Calculated density = 7.5 Mg/m³
data_PmSm4Dy
_chemical_formula_sum 'Pm2 Sm8 Dy2'
_symmetry_space_group_name_H-M 'C m m m'
_symmetry_Int_Tables_number 65
_symmetry_space_group_name_Hall '-C 2 2'
_cell_length_a 5.1239
_cell_length_b 15.3510
_cell_length_c 5.1094
_cell_angle_alpha 90.00
_cell_angle_beta 90.00
_cell_angle_gamma 90.00
loop_
_atom_site_label
_atom_site_fract_x
_atom_site_fract_y
_atom_site_fract_z
Pm1 0.0000 0.0000 0.0000
Sm1 0.0000 0.1665 0.5000
Sm2 0.0000 0.3339 0.0000
Dy1 0.0000 0.5000 0.5000

Entry 2:
# Pr12DyHo3, relaxed, DFT GGA-PBE
# Formation energy = 0.012 eV per atom
# Calculated density = 7.0 Mg/m³
data_Pr12DyHo3
_chemical_formula_sum 'Pr12 Dy1 Ho3'
_symmetry_space_group_name_H-M 'P 4/m m m'
_symmetry_Int_Tables_number 123
_symmetry_space_group_name_Hall '-P 4 2'
_cell_length_a 5.1894
_cell_length_b 5.1894
_cell_length_c 20.6886
_cell_angle_alpha 90.00
_cell_angle_beta 90.00
_cell_angle_gamma 90.00
loop_
_atom_site_label
_atom_site_fract_x
_atom_site_fract_y
_atom_site_fract_z
Pr1 0.0000 0.0000 0.0000
Pr2 0.0000 0.0000 0.2501
Pr3 0.0000 0.0000 0.5000
Pr4 0.0000 0.5000 0.1252
Pr5 0.0000 0.5000 0.3750
Dy1 0.5000 0.5000 0.0000
Ho1 0.5000 0.5000 0.2501
Ho2 0.5000 0.5000 0.5000

Entry 3:
# Be2AlNi8, relaxed, DFT GGA-PBE
# Formation energy = -0.215 eV per atom
# Calculated density = 7.3 Mg/m³
data_Be2AlNi8
_chemical_formula_sum 'Be4 Al2 Ni16'
_symmetry_space_group_name_H-M 'I m m m'
_symmetry_Int_Tables_number 71
_symmetry_space_group_name_Hall '-I 2 2'
_cell_length_a 3.5955
_cell_length_b 6.0461
_cell_length_c 10.7951
_cell_angle_alpha 90.00
_cell_angle_beta 90.00
_cell_angle_gamma 90.00
loop_
_atom_site_label
_atom_site_fract_x
_atom_site_fract_y
_atom_site_fract_z
Be1 0.0000 0.0000 0.1969
Al1 0.0000 0.0000 0.5000
Ni1 0.0000 0.1924 0.0000
Ni2 0.0000 0.2863 0.3374
Ni3 0.0000 0.5000 0.1514

Entry 4:
# SrBePb2, relaxed, DFT GGA-PBE
# Formation energy = 0.175 eV per atom
# Calculated density = 6.5 Mg/m³
data_SrBePb2
_chemical_formula_sum 'Sr4 Be4 Pb8'
_symmetry_space_group_name_H-M 'I -4 2 d'
_symmetry_Int_Tables_number 122
_symmetry_space_group_name_Hall 'I -4 2bw'
_cell_length_a 5.5148
_cell_length_b 5.5148
_cell_length_c 17.1231
_cell_angle_alpha 90.00
_cell_angle_beta 90.00
_cell_angle_gamma 90.00
loop_
_atom_site_label
_atom_site_fract_x
_atom_site_fract_y
_atom_site_fract_z
Sr1 0.0000 0.0000 0.0000
Be1 0.0000 0.0000 0.5000
Pb1 0.1335 0.2500 0.6250

Entry 5:
# MgNb2HRh, relaxed, DFT GGA-PBE
# Distance to the lowest polymorph of the same formula = 0.011 eV/atom
# Calculated density = 7.4 Mg/m³
data_MgNb2HRh
_chemical_formula_sum 'Mg1 Nb2 H1 Rh1'
_symmetry_space_group_name_H-M 'P 4/m m m'
_symmetry_Int_Tables_number 123
_symmetry_space_group_name_Hall '-P 4 2'
_cell_length_a 4.1114
_cell_length_b 4.1114
_cell_length_c 4.1801
_cell_angle_alpha 90.00
_cell_angle_beta 90.00
_cell_angle_gamma 90.00
loop_
_atom_site_label
_atom_site_fract_x
_atom_site_fract_y
_atom_site_fract_z
Mg1 0.0000 0.0000 0.0000
Nb1 0.0000 0.5000 0.5000
H1 0.5000 0.5000 0.5000
Rh1 0.5000 0.5000 0.0000

Entry 6:
# GaTc2Sn8, relaxed, DFT GGA-PBE
# Formation energy = 0.119 eV per atom
# Calculated density = 7.3 Mg/m³
data_GaTc2Sn8
_chemical_formula_sum 'Ga2 Tc4 Sn16'
_symmetry_space_group_name_H-M 'C 1 2/m 1'
_symmetry_Int_Tables_number 12
_cell_length_a 12.5683
_cell_length_b 8.6533
_cell_length_c 5.3652
_cell_angle_alpha 90.00
_cell_angle_beta 108.97
_cell_angle_gamma 90.00
loop_
_symmetry_equiv_pos_as_xyz
'x,y,z'
'-x,-y,-z'
'-x,y,-z'
'x,-y,z'
'x+1/2,y+1/2,z'
'-x+1/2,-y+1/2,-z'
'-x+1/2,y+1/2,-z'
'x+1/2,-y+1/2,z'
loop_
_atom_site_label
_atom_site_fract_x
_atom_site_fract_y
_atom_site_fract_z
Ga1 0.0000 0.0000 0.0000
Tc1 0.2005 0.0000 0.2976
Sn1 0.0953 0.5000 0.8093
Sn2 0.1261 0.2992 0.3347
Sn3 0.1742 0.0000 0.7742